# Si2Se, optimized geometry, DFT PBE
data_Si2Se
_space_group_name_H-M_alt 'C 1 m 1'
_space_group_IT_number 8
_cell_length_a 18.879
_cell_length_b 3.647
_cell_length_c 3.996
_cell_angle_alpha 90.00
_cell_angle_beta 91.07
_cell_angle_gamma 90.00
loop_
_space_group_symop_operation_xyz
'x,y,z'
'x,-y,z'
'x+1/2,y+1/2,z'
'x+1/2,-y+1/2,z'
loop_
_atom_site_label
_atom_site_type_symbol
_atom_site_fract_x
_atom_site_fract_y
_atom_site_fract_z
_atom_site_occupancy
Si1 Si 0.000 0.000 0.000 1
Si2 Si 0.039 0.500 0.401 1
Si3 Si 0.106 0.000 0.668 1
Si4 Si 0.178 0.000 0.171 1
Se1 Se 0.256 0.500 0.198 1
Se2 Se 0.432 0.000 0.695 1
# Crystal system: monoclinic
# ΔE to the lowest computed polymorph (meV per atom): 198